DFT (PBE) results for a relaxed AlHgCl2 crystal.

Calculated values
The calculation puts the magnetization at 0.000 μB per atom. The value obtained for the raw formation energy is -736 meV per atom. For the relative energy among the computed polymorphs, the calculation gives 0.00 eV/f.u.

Structure (extended XYZ):
```
4
Lattice="-3.614 0.259 -0.305 0.374 -1.752 -5.921 -0.265 -5.916 -1.890" Properties=species:S:1:pos:R:3 pbc="T T T"
Hg 0.102 -4.263 -4.836
Cl -1.752 -1.653 -2.323
Cl 0.087 -6.963 -6.959
Al -1.780 -6.033 -5.713
```